No. 1
The following is a DFT calculation (PBEsol) of a geometry-optimized Bi3TeOs structure.

Computed properties:
E_form (uncorrected): 0.6127 eV per atom
Total magnetization: 0.00 μB per formula unit
Space-group type: Pm-3m, No. 221

Cell lengths 5.2769, 5.2769, 5.2769 Å; angles 90.00, 90.00, 90.00 degrees
Sites, in units of the cell vectors:
Bi (0.0000, 0.0000, 0.5000)
Bi (0.0000, 0.5000, 0.0000)
Bi (0.5000, 0.0000, 0.0000)
Te (0.5000, 0.5000, 0.5000)
Os (0.0000, 0.0000, 0.0000)

No. 2
The following is a DFT calculation (PBEsol) of a geometry-optimized KTcIr2 structure.

Computed properties:
Total magnetization: 1.33 μB per formula unit
ΔE_f: 1310 meV/atom
Space-group type: Fm-3m, No. 225

Cell lengths 4.5048, 4.5048, 4.5048 Å; angles 60.00, 60.00, 60.00 degrees
Sites, in units of the cell vectors:
K (0.0000, 0.0000, 0.0000)
Tc (0.5000, 0.5000, 0.5000)
Ir (0.2500, 0.2500, 0.2500)
Ir (0.7500, 0.7500, 0.7500)

No. 3
The following is a DFT calculation (PBEsol) of a geometry-optimized MnOs3W structure.

Computed properties:
Total magnetization: 0.00 μB per formula unit
ΔE_f: 1879 meV/atom
Space-group type: Pm-3m, No. 221

Cell lengths 4.3175, 4.3175, 4.3175 Å; angles 90.00, 90.00, 90.00 degrees
Sites, in units of the cell vectors:
Mn (0.0000, 0.0000, 0.0000)
Os (0.0000, 0.0000, 0.5000)
Os (0.0000, 0.5000, 0.0000)
Os (0.5000, 0.0000, 0.0000)
W (0.5000, 0.5000, 0.5000)

No. 4
The following is a DFT calculation (PBEsol) of a geometry-optimized Li4SiGe3O10 structure.

Computed properties:
E_form (uncorrected): -2.0691 eV per atom
Total magnetization: 0.00 μB per formula unit
Space-group type: P1, No. 1

Cell lengths 4.9249, 6.0153, 7.9210 Å; angles 89.63, 72.17, 89.91 degrees
Sites, in units of the cell vectors:
Li (0.0000, 0.0000, 0.0000)
Li (0.1090, 0.7058, 0.7732)
Li (0.4975, 0.7019, 0.0055)
Li (0.6101, 0.0007, 0.7778)
Si (0.1879, 0.1947, 0.6062)
Ge (0.4049, 0.1893, 0.1863)
Ge (0.6872, 0.5052, 0.6047)
Ge (0.9079, 0.5094, 0.1790)
O (0.0148, 0.0181, 0.7499)
O (0.0278, 0.4435, 0.6309)
O (0.2281, 0.1060, 0.4049)
O (0.2750, 0.4615, 0.1574)
O (0.3737, 0.0067, 0.0302)
O (0.5056, 0.2430, 0.6326)
O (0.5084, 0.6927, 0.7589)
O (0.7261, 0.6097, 0.3914)
O (0.7751, 0.2364, 0.1581)
O (0.8779, 0.6919, 0.0207)

No. 5
The following is a DFT calculation (PBEsol) of a geometry-optimized LiTl2Ir structure.

Computed properties:
Total magnetization: 0.00 μB per formula unit
ΔE_f: 133 meV/atom
Space-group type: I-4m2, No. 119

Cell lengths 5.3431, 5.3431, 5.3431 Å; angles 136.08, 136.08, 63.85 degrees
Sites, in units of the cell vectors:
Li (0.0000, 0.0000, 0.0000)
Tl (0.5000, 0.5000, 0.0000)
Tl (0.7500, 0.2500, 0.5000)
Ir (0.2500, 0.7500, 0.5000)

No. 6
The following is a DFT calculation (PBEsol) of a geometry-optimized LiTa2Pt2 structure.

Computed properties:
Total magnetization: 0.00 μB per formula unit
ΔE_f: 229 meV/atom
Space-group type: I4/mmm, No. 139

Cell lengths 5.7266, 5.7266, 5.7266 Å; angles 131.44, 131.44, 71.11 degrees
Sites, in units of the cell vectors:
Li (0.0000, 0.0000, 0.0000)
Ta (0.3573, 0.3573, 0.0000)
Ta (0.6427, 0.6427, 0.0000)
Pt (0.2500, 0.7500, 0.5000)
Pt (0.7500, 0.2500, 0.5000)